No. 1
! Np2Se3S PBE optimized geometry; values from VASP
! Density of states at the Fermi level in states/eV per cell: 30.509
! Uncorrected energy in eV for the cell shown: -92.0
! Energy relative to the elements, uncorrected in meV/atom: -923
! SG: R-3c, No. 167
! Total moment in μB/cell: 12.0
! Calculated volume in Å³/f.u.: 155
&SYSTEM
  ibrav = 0, nat = 12, ntyp = 3
/
ATOMIC_SPECIES
Se 78.96 Se.upf
Np 237.00 Np.upf
S 32.06 S.upf
ATOMIC_POSITIONS angstrom
Se -6.743 -0.993 8.493
Se -3.996 -5.011 8.804
Se -3.863 -5.238 4.694
Se -7.821 -4.900 5.781
Se -6.610 -1.220 4.383
Se -2.785 -1.331 7.407
Np -9.121 -5.359 11.342
Np -1.485 -0.872 1.846
Np -3.818 -2.243 4.748
Np -6.788 -3.988 8.440
S -5.303 -3.115 6.594
S 0.000 0.000 0.000
CELL_PARAMETERS angstrom
-4.977 -5.319 1.705
0.044 -2.739 6.962
-5.673 1.828 4.521

No. 2
! Np6Se5S5 PBE optimized geometry; values from VASP
! Density of states at the Fermi level in states/eV per cell: 47.015
! Uncorrected energy in eV for the cell shown: -134.4
! Energy relative to the elements, uncorrected in meV/atom: -1168
! SG: Amm2, No. 38
! Total moment in μB/cell: 14.8
! Calculated volume in Å³/f.u.: 352
&SYSTEM
  ibrav = 0, nat = 16, ntyp = 3
/
ATOMIC_SPECIES
Se 78.96 Se.upf
Np 237.00 Np.upf
S 32.06 S.upf
ATOMIC_POSITIONS angstrom
Se 3.108 1.713 7.069
Se 0.000 0.005 6.043
Se 3.108 5.272 3.080
Se 0.000 5.267 -2.962
Se 3.108 6.999 -1.979
Np 3.108 2.748 1.606
Np 0.000 4.230 2.472
Np 0.000 2.772 -1.487
Np 3.108 4.215 5.670
Np 3.108 7.009 0.888
Np 0.000 0.065 3.145
S 1.560 4.684 0.049
S 4.657 2.343 4.057
S 1.560 2.343 4.057
S 0.000 1.828 1.068
S 4.657 4.684 0.049
CELL_PARAMETERS angstrom
6.217 0.000 0.000
0.000 7.019 -3.953
0.000 0.003 8.056